DFT (PBE) results for a relaxed Tb2NdO4 crystal.

Calculated values
Space group ... No. 227
Volume ... 16.45 Å³ per atom

abc: 6.880 6.880 6.880
angles: 60.00 60.00 60.00
Element x y z (fractional)
Tb1 0.000 0.000 0.000
Tb2 0.000 0.000 0.500
Tb3 0.000 0.500 0.000
Tb4 0.500 0.000 0.000
Nd1 0.375 0.375 0.375
Nd2 0.625 0.625 0.625
O1 0.215 0.762 0.762
O2 0.238 0.238 0.238
O3 0.238 0.238 0.785
O4 0.238 0.785 0.238
O5 0.762 0.215 0.762
O6 0.762 0.762 0.215
O7 0.762 0.762 0.762
O8 0.785 0.238 0.238

DFT (PBE) results for a relaxed TbNdTeO2 crystal.

Calculated values
Space group ... No. 107
Volume ... 20.20 Å³ per atom

abc: 6.944 6.944 6.944
angles: 146.60 146.60 47.95
Element x y z (fractional)
Tb1 0.000 0.000 0.000
Nd1 0.321 0.321 0.000
Te1 0.661 0.661 0.000
O1 0.417 0.917 0.500
O2 0.917 0.417 0.500

Sequential final energy output: -8.019; -7.407 eV per atom